# 1
BeFe2 | PBE-GGA | relaxed

Cell and atoms, written as extended XYZ:
```
3
Lattice="0.000 2.569 2.569 2.569 0.000 2.569 2.569 2.569 0.000" Properties=species:S:1:pos:R:3 pbc="T T T"
Be 0.000 0.000 0.000
Fe 1.284 1.284 1.284
Fe 3.853 3.853 3.853
```

Output
Volume, Å³ per cell: 33.9
Size of the total moment, μB/cell: 4.4

***

# 2
BeFe2 | PBE-GGA | relaxed

Cell and atoms, written as extended XYZ:
```
3
Lattice="3.849 0.000 0.000 -1.925 3.334 0.000 0.000 0.000 2.393" Properties=species:S:1:pos:R:3 pbc="T T T"
Be 0.000 0.000 0.000
Fe 0.000 2.222 1.610
Fe 1.925 1.111 0.783
```

Output
Volume, Å³ per cell: 30.7
Size of the total moment, μB/cell: 4.0

***

# 3
BeFe2 | PBE-GGA | relaxed

Cell and atoms, written as extended XYZ:
```
6
Lattice="-1.184 1.767 8.243 1.184 -1.767 8.243 1.184 1.767 -8.243" Properties=species:S:1:pos:R:3 pbc="T T T"
Be 0.000 0.883 1.756
Be 1.184 0.883 6.487
Fe 1.184 0.883 -3.037
Fe 1.184 0.883 -0.686
Fe 0.000 0.883 8.929
Fe 0.000 0.883 11.279
```

Output
Volume, Å³ per cell: 69.0
Size of the total moment, μB/cell: 8.4

***

# 4
BeGa2Fe | PBE-GGA | relaxed

Cell and atoms, written as extended XYZ:
```
8
Lattice="-3.296 3.296 2.437 3.296 -3.296 2.437 3.296 3.296 -2.437" Properties=species:S:1:pos:R:3 pbc="T T T"
Be 0.000 0.000 0.000
Be 0.000 3.296 1.218
Ga 4.944 1.448 -0.609
Ga 1.448 1.648 0.609
Ga -1.648 1.848 1.828
Ga 1.848 1.648 3.046
Fe 3.296 0.000 1.218
Fe 0.000 0.000 2.437
```

Output
Volume, Å³ per cell: 105.9
Size of the total moment, μB/cell: 4.0

***

ΔE_f in eV/atom, matching the order above: 0.277, -0.078, 0.274, 0.417